(1)
Compound: DyLuTc
Source: the Alexandria database
Functional: PBE
Structure: optimized geometry

Lattice parameters (Å, degrees): 6.550 6.550 6.550 149.52 149.52 43.65
Atoms (fractional coordinates):
Dy 0.000 0.000 0.000
Lu 0.263 0.263 0.000
Tc 0.635 0.635 0.000

## Properties
symmetry: I4mm (107)
V: 72.1 Å³/cell
VASP energy: -6.59 eV/atom

(2)
Compound: DyLuTc4
Source: the Alexandria database
Functional: PBE
Structure: optimized geometry

Lattice parameters (Å, degrees): 5.378 5.378 5.378 60.00 60.00 60.00
Atoms (fractional coordinates):
Dy 0.000 0.000 0.000
Lu 0.750 0.750 0.750
Tc 0.375 0.375 0.375
Tc 0.375 0.375 0.875
Tc 0.375 0.875 0.375
Tc 0.875 0.375 0.375

## Properties
symmetry: F-43m (216)
V: 110.0 Å³/cell
VASP energy: -8.62 eV/atom

(3)
Compound: Dy5Lu3Te12
Source: the Alexandria database
Functional: PBE
Structure: optimized geometry

Lattice parameters (Å, degrees): 15.596 15.596 15.596 109.47 109.47 109.47
Atoms (fractional coordinates):
Dy 0.000 0.000 0.000
Dy 0.000 0.000 0.500
Dy 0.000 0.500 0.000
Dy 0.000 0.500 0.500
Dy 0.125 0.750 0.875
Dy 0.125 0.875 0.250
Dy 0.250 0.125 0.875
Dy 0.250 0.625 0.375
Dy 0.375 0.250 0.625
Dy 0.375 0.625 0.750
Dy 0.500 0.000 0.000
Dy 0.500 0.000 0.500
Dy 0.500 0.500 0.000
Dy 0.500 0.500 0.500
Dy 0.625 0.375 0.250
Dy 0.625 0.750 0.375
Dy 0.750 0.375 0.625
Dy 0.750 0.875 0.125
Dy 0.875 0.125 0.750
Dy 0.875 0.250 0.125
Lu 0.125 0.250 0.375
Lu 0.125 0.375 0.750
Lu 0.250 0.375 0.125
Lu 0.250 0.875 0.625
Lu 0.375 0.125 0.250
Lu 0.375 0.750 0.125
Lu 0.625 0.250 0.875
Lu 0.625 0.875 0.750
Lu 0.750 0.125 0.375
Lu 0.750 0.625 0.875
Lu 0.875 0.625 0.250
Lu 0.875 0.750 0.625
Te 0.052 0.227 0.129
Te 0.052 0.325 0.924
Te 0.076 0.629 0.402
Te 0.076 0.948 0.675
Te 0.098 0.727 0.675
Te 0.098 0.871 0.424
Te 0.129 0.052 0.227
Te 0.129 0.576 0.902
Te 0.175 0.227 0.598
Te 0.175 0.448 0.576
Te 0.227 0.129 0.052
Te 0.227 0.598 0.175
Te 0.273 0.325 0.902
Te 0.273 0.448 0.371
Te 0.325 0.902 0.273
Te 0.325 0.924 0.052
Te 0.371 0.273 0.448
Te 0.371 0.598 0.924
Te 0.402 0.076 0.629
Te 0.402 0.825 0.773
Te 0.424 0.098 0.871
Te 0.424 0.825 0.552
Te 0.448 0.371 0.273
Te 0.448 0.576 0.175
Te 0.552 0.424 0.825
Te 0.552 0.629 0.727
Te 0.576 0.175 0.448
Te 0.576 0.902 0.129
Te 0.598 0.175 0.227
Te 0.598 0.924 0.371
Te 0.629 0.402 0.076
Te 0.629 0.727 0.552
Te 0.675 0.076 0.948
Te 0.675 0.098 0.727
Te 0.727 0.552 0.629
Te 0.727 0.675 0.098
Te 0.773 0.402 0.825
Te 0.773 0.871 0.948
Te 0.825 0.552 0.424
Te 0.825 0.773 0.402
Te 0.871 0.424 0.098
Te 0.871 0.948 0.773
Te 0.902 0.129 0.576
Te 0.902 0.273 0.325
Te 0.924 0.052 0.325
Te 0.924 0.371 0.598
Te 0.948 0.675 0.076
Te 0.948 0.773 0.871

## Properties
formation energy from raw total energies: -1.064 eV/atom
symmetry: Ia-3d (230)
V: 2920.2 Å³/cell
VASP energy: -4.78 eV/atom

(4)
Compound: DyLuTe2
Source: the Alexandria database
Functional: PBE
Structure: optimized geometry

Lattice parameters (Å, degrees): 5.308 5.308 3.752 90.00 90.00 90.00
Atoms (fractional coordinates):
Dy 0.000 0.000 0.000
Lu 0.500 0.500 0.000
Te 0.000 0.500 0.500
Te 0.500 0.000 0.500

## Properties
formation energy from raw total energies: -1.077 eV/atom
symmetry: P4/mmm (123)
V: 105.7 Å³/cell
E above lowest polymorph: 0.110 eV per atom
VASP energy: -4.93 eV/atom

(5)
Compound: DyLuTe2
Source: the Alexandria database
Functional: PBE
Structure: optimized geometry

Lattice parameters (Å, degrees): 7.600 7.600 7.600 32.62 32.62 32.62
Atoms (fractional coordinates):
Dy 0.000 0.000 0.000
Lu 0.500 0.500 0.500
Te 0.247 0.247 0.247
Te 0.753 0.753 0.753

## Properties
formation energy from raw total energies: -1.187 eV/atom
symmetry: R-3m (166)
V: 113.4 Å³/cell
E above lowest polymorph: 0.000 eV per atom
VASP energy: -5.04 eV/atom

(6)
Compound: DyLuTe2
Source: the Alexandria database
Functional: PBE
Structure: optimized geometry

Lattice parameters (Å, degrees): 5.309 5.309 5.309 60.00 60.00 60.00
Atoms (fractional coordinates):
Dy 0.000 0.000 0.000
Lu 0.500 0.500 0.500
Te 0.250 0.250 0.250
Te 0.750 0.750 0.750

## Properties
formation energy from raw total energies: -1.072 eV/atom
symmetry: Fm-3m (225)
V: 105.8 Å³/cell
E above lowest polymorph: 0.115 eV per atom
VASP energy: -4.92 eV/atom

(7)
Compound: DyLuTh
Source: the Alexandria database
Functional: PBE
Structure: optimized geometry

Lattice parameters (Å, degrees): 7.839 7.839 7.839 153.81 153.81 37.37
Atoms (fractional coordinates):
Dy 0.000 0.000 0.000
Lu 0.675 0.675 0.000
Th 0.336 0.336 0.000

## Properties
symmetry: I4mm (107)
V: 93.7 Å³/cell
E above lowest polymorph: 0.005 eV per atom
VASP energy: -5.49 eV/atom

(8)
Compound: Dy2LuTh
Source: the Alexandria database
Functional: PBE
Structure: optimized geometry

Lattice parameters (Å, degrees): 11.656 11.656 11.656 17.51 17.51 17.51
Atoms (fractional coordinates):
Dy 0.250 0.250 0.250
Dy 0.750 0.750 0.750
Lu 0.500 0.500 0.500
Th 0.000 0.000 0.000

## Properties
symmetry: R-3m (166)
V: 125.1 Å³/cell
E above lowest polymorph: 0.000 eV per atom
VASP energy: -5.26 eV/atom

Number 1: magnetic moment 0.000 μB/atom. Number 2: magnetic moment 0.000 μB/atom. Number 3: magnetic moment 0.000 μB/atom. Number 4: magnetic moment 0.256 μB/atom. Number 5: magnetic moment 0.000 μB/atom. Number 6: magnetic moment 0.292 μB/atom. Number 7: magnetic moment 0.000 μB/atom. Number 8: magnetic moment 0.000 μB/atom.